Record 1
AlNiN2 | GGA-PBEsol | optimized geometry

Summary:
Formation energy without anion corrections   -0.37 eV per atom

Lattice parameters (Å, degrees): 4.2679 4.2679 5.3931 113.31 113.31 90.00
With the nearest neighbours (Å) after each atom.
Positions (direct):
Ni1 0.2500 0.7500 0.5000  4 N 1.87
Ni2 0.0000 0.0000 0.0000  4 N 1.87
Al1 0.7500 0.2500 0.5000  4 N 1.88
Al2 0.5000 0.5000 0.0000  4 N 1.88
N1 0.3728 0.8750 0.2500  2 Ni 1.87, 2 Al 1.88
N2 0.8772 0.3750 0.2500  2 Ni 1.87, 2 Al 1.88
N3 0.1250 0.1228 0.7500  2 Ni 1.87, 2 Al 1.88
N4 0.6250 0.6272 0.7500  2 Ni 1.87, 2 Al 1.88



Record 2
LiHRu2Cl | GGA-PBEsol | optimized geometry

Summary:
Total DFT energy (no corrections)   -21.39 eV/cell

Lattice parameters (Å, degrees): 4.2692 4.2831 4.2831 90.00 90.00 90.00
With the nearest neighbours (Å) after each atom.
Positions (direct):
Ru1 0.0000 0.0000 0.5000  2 Cl 2.14
Ru2 0.0000 0.5000 0.0000  2 Cl 2.14
Li1 0.5000 0.0000 0.0000  2 Cl 2.13
H1 0.5000 0.5000 0.5000  8 Ru 3.02, 4 Li 3.03
Cl1 0.0000 0.0000 0.0000  2 Li 2.13, 4 Ru 2.14



Record 3
ZrCl3 | GGA-PBEsol | optimized geometry

Summary:
Formation energy without anion corrections   -1.71 eV per atom

Lattice parameters (Å, degrees): 3.1961 6.1702 6.1702 61.28 74.99 74.99
With the nearest neighbours (Å) after each atom.
Positions (direct):
Zr1 0.0000 0.2892 0.7108  6 Cl 2.52
Cl1 0.3353 0.6139 0.7155  2 Zr 2.52
Cl2 0.6647 0.2845 0.3861  2 Zr 2.52
Cl3 0.5000 0.9790 0.0210  2 Zr 2.52



Record 4
ErSi2Ni10 | GGA-PBEsol | optimized geometry

Summary:
Formation energy without anion corrections   -0.49 eV per atom

Lattice parameters (Å, degrees): 4.6072 8.0435 8.0435 90.00 90.00 90.00
With the nearest neighbours (Å) after each atom.
Positions (direct):
Er1 0.7793 0.5000 0.0000  16 Ni 2.84-3.02, 4 Si 3.12
Er2 0.2207 0.0000 0.5000  16 Ni 2.84-3.02, 4 Si 3.12
Si1 0.5000 0.7500 0.7500  10 Ni 2.28-2.48
Si2 0.5000 0.2500 0.2500  10 Ni 2.28-2.48
Si3 0.5000 0.7500 0.2500  10 Ni 2.28-2.48
Si4 0.5000 0.2500 0.7500  10 Ni 2.28-2.48
Ni1 0.0000 0.2500 0.2500  2 Si 2.30, 8 Ni 2.37-2.44
Ni2 0.0000 0.2500 0.7500  2 Si 2.30, 8 Ni 2.37-2.44
Ni3 0.2697 0.5000 0.2223  2 Si 2.28, 7 Ni 2.37-2.53
Ni4 0.0000 0.7500 0.7500  2 Si 2.30, 8 Ni 2.37-2.44
Ni5 0.0000 0.7500 0.2500  2 Si 2.30, 8 Ni 2.37-2.44
Ni6 0.2697 0.5000 0.7777  2 Si 2.28, 7 Ni 2.37-2.53
Ni7 0.2391 0.3529 0.5000  7 Ni 2.37-2.57, 2 Si 2.48
Ni8 0.2391 0.0000 0.1471  7 Ni 2.37-2.57, 2 Si 2.48
Ni9 0.2391 0.0000 0.8529  7 Ni 2.37-2.57, 2 Si 2.48
Ni10 0.2391 0.6471 0.5000  7 Ni 2.37-2.57, 2 Si 2.48
Ni11 0.7609 0.1471 0.0000  7 Ni 2.37-2.57, 2 Si 2.48
Ni12 0.7609 0.8529 0.0000  7 Ni 2.37-2.57, 2 Si 2.48
Ni13 0.7609 0.5000 0.3529  7 Ni 2.37-2.57, 2 Si 2.48
Ni14 0.7609 0.5000 0.6471  7 Ni 2.37-2.57, 2 Si 2.48
Ni15 0.7303 0.7777 0.5000  2 Si 2.28, 7 Ni 2.37-2.53
Ni16 0.7303 0.0000 0.7223  2 Si 2.28, 7 Ni 2.37-2.53
Ni17 0.7303 0.0000 0.2777  2 Si 2.28, 7 Ni 2.37-2.53
Ni18 0.7303 0.2223 0.5000  2 Si 2.28, 7 Ni 2.37-2.53
Ni19 0.2697 0.7223 0.0000  2 Si 2.28, 7 Ni 2.37-2.53
Ni20 0.2697 0.2777 0.0000  2 Si 2.28, 7 Ni 2.37-2.53



Record 5
Li3Fe4P6O24 | GGA-PBEsol | optimized geometry

Summary:
Formation energy without anion corrections   -1.87 eV per atom

Lattice parameters (Å, degrees): 6.0798 8.2704 9.1298 103.87 106.35 102.94
With the nearest neighbours (Å) after each atom.
Positions (direct):
Li1 0.7646 0.6902 0.3083  3 O 1.91-2.08
Li2 0.0000 0.5000 0.5000  6 O 2.12-2.25
Li3 0.2354 0.3098 0.6917  3 O 1.91-2.08
Fe1 0.0684 0.2595 0.0424  5 O 1.81-1.89
Fe2 0.6252 0.0398 0.3787  4 O 1.82-2.00
Fe3 0.3748 0.9602 0.6213  4 O 1.82-2.00
Fe4 0.9316 0.7405 0.9576  5 O 1.81-1.89
P1 0.6116 0.2751 0.1400  4 O 1.50-1.57
P2 0.2308 0.6727 0.2734  4 O 1.54-1.57
P3 0.1226 0.1254 0.3456  4 O 1.49-1.59
P4 0.8774 0.8746 0.6544  4 O 1.49-1.59
P5 0.7692 0.3273 0.7266  4 O 1.54-1.57
P6 0.3884 0.7249 0.8600  4 O 1.50-1.57
O1 0.7585 0.2350 0.0273  1 P 1.57
O2 0.3611 0.2587 0.0201  1 P 1.56
O3 0.5675 0.1210 0.2076  1 P 1.55
O4 0.4763 0.7801 0.2766  1 P 1.54
O5 0.0109 0.7076 0.1604  1 P 1.57
O6 0.0903 0.1071 0.1673  1 P 1.55
O7 0.7385 0.4484 0.2704  1 P 1.50
O8 0.8968 0.9926 0.3503  1 P 1.57
O9 0.2080 0.4779 0.2103  1 P 1.54
O10 0.3252 0.0397 0.4070  1 P 1.59
O11 0.8242 0.6940 0.5448  1 P 1.49
O12 0.2120 0.7216 0.4432  1 P 1.55
O13 0.7880 0.2784 0.5568  1 P 1.55
O14 0.1758 0.3060 0.4552  1 P 1.49
O15 0.6748 0.9603 0.5930  1 P 1.59
O16 0.7920 0.5221 0.7897  1 P 1.54
O17 0.1032 0.0074 0.6497  1 P 1.57
O18 0.2615 0.5516 0.7296  1 P 1.50
O19 0.9097 0.8929 0.8327  1 P 1.55
O20 0.9891 0.2924 0.8396  1 P 1.57
O21 0.5237 0.2199 0.7234  1 P 1.54
O22 0.4325 0.8790 0.7924  1 P 1.55
O23 0.6389 0.7413 0.9799  1 P 1.56
O24 0.2415 0.7650 0.9727  1 P 1.57



Record 6
Ni2AsAu | GGA-PBEsol | optimized geometry

Summary:
ΔE_f   162 meV per atom

Lattice parameters (Å, degrees): 2.7763 2.7763 8.5888 80.70 80.70 60.00
With the nearest neighbours (Å) after each atom.
Positions (direct):
As1 0.4848 0.4848 0.5455  3 Ni 2.38
Au1 0.2579 0.2579 0.2264  3 Ni 2.67, 6 Au 2.78
Ni1 0.0087 0.0087 0.9740  3 Ni 2.45, 3 Au 2.67
Ni2 0.7486 0.7486 0.7541  3 As 2.38, 3 Ni 2.45



Record 7
Mn2ReNi | GGA-PBEsol | optimized geometry

Summary:
ΔE_f   58 meV per atom

Lattice parameters (Å, degrees): 2.5545 3.5982 5.0778 90.00 90.00 90.00
With the nearest neighbours (Å) after each atom.
Positions (direct):
Mn1 0.0000 0.0000 0.0142  2 Ni 2.43-2.65, 6 Mn 2.49-2.55, 4 Re 2.58
Mn2 0.5000 0.5000 0.2433  6 Mn 2.49-2.55, 2 Re 2.51-2.57, 4 Ni 2.54
Ni1 0.0000 0.0000 0.4927  6 Mn 2.43-2.65, 2 Ni 2.55, 4 Re 2.56
Re1 0.5000 0.5000 0.7497  6 Mn 2.51-2.58, 2 Re 2.55, 4 Ni 2.56



Record 8
Cs2CCl | GGA-PBEsol | optimized geometry

Summary:
Formation energy without anion corrections   0.22 eV per atom

Lattice parameters (Å, degrees): 5.6678 5.6678 5.6678 60.00 60.00 60.00
With the nearest neighbours (Å) after each atom.
Positions (direct):
Cs1 0.2500 0.2500 0.2500  4 C 3.47, 4 Cl 3.47
Cs2 0.7500 0.7500 0.7500  4 C 3.47, 4 Cl 3.47
C1 0.0000 0.0000 0.0000  8 Cs 3.47
Cl1 0.5000 0.5000 0.5000  8 Cs 3.47



Record 9
MgTlNi2 | GGA-PBEsol | optimized geometry

Summary:
ΔE_f   141 meV per atom

Lattice parameters (Å, degrees): 4.3587 4.3587 4.3587 60.00 60.00 60.00
With the nearest neighbours (Å) after each atom.
Positions (direct):
Mg1 0.5000 0.5000 0.5000  4 Tl 2.67, 4 Ni 2.67
Ni1 0.0000 0.0000 0.0000  4 Ni 2.67, 4 Tl 2.67
Ni2 0.7500 0.7500 0.7500  4 Ni 2.67, 4 Mg 2.67
Tl1 0.2500 0.2500 0.2500  4 Ni 2.67, 4 Mg 2.67



Record 10
Li2YSi2 | GGA-PBEsol | optimized geometry

Summary:
Formation energy without anion corrections   -0.31 eV per atom

Lattice parameters (Å, degrees): 2.7909 7.6345 7.6345 90.00 90.00 90.00
With the nearest neighbours (Å) after each atom.
Positions (direct):
Y1 0.0000 0.0000 0.0000  2 Y 2.79, 4 Li 3.07
Y2 0.0000 0.5000 0.5000  2 Y 2.79, 4 Li 3.07
Si1 0.5000 0.1795 0.6795  6 Li 2.63-2.68, 2 Si 2.79
Si2 0.5000 0.6795 0.8205  6 Li 2.63-2.68, 2 Si 2.79
Si3 0.5000 0.8205 0.3205  6 Li 2.63-2.68, 2 Si 2.79
Si4 0.5000 0.3205 0.1795  6 Li 2.63-2.68, 2 Si 2.79
Li1 0.0000 0.3863 0.8863  1 Li 2.46, 6 Si 2.63-2.68
Li2 0.0000 0.8863 0.6137  1 Li 2.46, 6 Si 2.63-2.68
Li3 0.0000 0.6137 0.1137  1 Li 2.46, 6 Si 2.63-2.68
Li4 0.0000 0.1137 0.3863  1 Li 2.46, 6 Si 2.63-2.68



Record 11
Er2Si4Mo3 | GGA-PBEsol | optimized geometry

Summary:
Formation energy without anion corrections   -0.75 eV per atom

Lattice parameters (Å, degrees): 6.6573 6.7671 6.8257 90.00 90.00 108.95
With the nearest neighbours (Å) after each atom.
Positions (direct):
Er1 0.4388 0.8098 0.3304  7 Si 2.76-2.99
Er2 0.0612 0.1902 0.8304  7 Si 2.76-2.99
Er3 0.5612 0.1902 0.6696  7 Si 2.76-2.99
Er4 0.9388 0.8098 0.1696  7 Si 2.76-2.99
Si1 0.1336 0.9111 0.5436  4 Mo 2.52-2.65, 1 Si 2.52, 1 Er 2.76
Si2 0.3664 0.0889 0.0436  4 Mo 2.52-2.65, 1 Si 2.52, 1 Er 2.76
Si3 0.8664 0.0889 0.4564  4 Mo 2.52-2.65, 1 Si 2.52, 1 Er 2.76
Si4 0.6336 0.9111 0.9564  4 Mo 2.52-2.65, 1 Si 2.52, 1 Er 2.76
Si5 0.1289 0.4971 0.1316  1 Si 2.49, 5 Mo 2.50-2.66, 1 Er 2.78
Si6 0.3711 0.5029 0.6316  1 Si 2.49, 5 Mo 2.50-2.66, 1 Er 2.78
Si7 0.8711 0.5029 0.8684  1 Si 2.49, 5 Mo 2.50-2.66, 1 Er 2.78
Si8 0.6289 0.4971 0.3684  1 Si 2.49, 5 Mo 2.50-2.66, 1 Er 2.78
Mo1 0.0000 0.5000 0.5000  6 Si 2.62-2.66
Mo2 0.5000 0.5000 0.0000  6 Si 2.62-2.66
Mo3 0.2516 0.7509 0.8365  6 Si 2.50-2.60
Mo4 0.2484 0.2491 0.3365  6 Si 2.50-2.60
Mo5 0.7484 0.2491 0.1635  6 Si 2.50-2.60
Mo6 0.7516 0.7509 0.6635  6 Si 2.50-2.60



Record 12
CdIn5 | GGA-PBEsol | optimized geometry

Summary:
ΔE_f   25 meV per atom

Lattice parameters (Å, degrees): 3.3251 6.1885 7.8516 106.66 90.00 105.58
With the nearest neighbours (Å) after each atom.
Positions (direct):
In1 0.3265 0.6531 0.6620  2 Cd 3.24, 10 In 3.26-3.33
In2 0.6596 0.3192 0.3160  2 Cd 3.17, 10 In 3.24-3.52
In3 0.6109 0.2218 0.7365  2 Cd 3.18, 10 In 3.24-3.52
In4 0.9485 0.8969 0.3990  11 In 3.22-3.33, 1 Cd 3.43
In5 0.2890 0.5781 0.0622  3 Cd 3.19-3.34, 9 In 3.22-3.33
Cd1 0.9988 0.9976 0.9910  10 In 3.17-3.43, 2 Cd 3.33